Zr2Re | PBE-GGA | relaxed

Output
E_form in eV per atom: 0.148
Energy in Ha/atom: -0.356
Calculated volume in Å³ per atom: 19.4

Structure (CIF):
```
data_Zr2Re
_chemical_formula_sum 'Zr8 Re4'
_cell_length_a 8.1836
_cell_length_b 5.4899
_cell_length_c 5.1894
_cell_angle_alpha 90.00
_cell_angle_beta 90.00
_cell_angle_gamma 90.00
_symmetry_space_group_name_H-M 'C m c m'
_symmetry_Int_Tables_number 63
_symmetry_space_group_name_Hall '-C 2c 2'
loop_
_atom_site_label
_atom_site_fract_x
_atom_site_fract_y
_atom_site_fract_z
_atom_site_occupancy
Zr1 0.1649 0.1475 0.2500 1
Re1 0.0000 0.3635 0.7500 1
```